LaNb2CdPd | GGA-PBEsol | relaxed

Unit cell a=4.909 b=4.909 c=4.962 alpha=90.00 beta=90.00 gamma=90.00
Fractional coordinates of all 5 atoms:
Cd (0.500, 0.500, 0.500)
Nb (0.500, 0.000, 0.000)
Pd (0.000, 0.000, 0.500)
La (0.000, 0.000, 0.000)
Nb (0.000, 0.500, 0.000)

DFT formation energy: 7.773 eV per formula unit
Final energy: -26.37 eV/cell
Crystal system: tetragonal



Ca2CoN2 | GGA-PBEsol | relaxed

Unit cell a=3.513 b=3.513 c=6.493 alpha=105.69 beta=105.69 gamma=90.00
Fractional coordinates of all 5 atoms:
Co (0.000, 0.000, 0.000)
N (0.855, 0.855, 0.711)
Ca (0.651, 0.651, 0.302)
Ca (0.349, 0.349, 0.698)
N (0.145, 0.145, 0.289)

Final energy: -32.67 eV/cell
Crystal system: tetragonal